## Mg2SnBi (PBE)

Data for a relaxed structure of Mg2SnBi.

a = 4.285 Å, b = 4.897 Å, c = 4.897 Å
α = 90.00°, β = 90.00°, γ = 90.00°
Element x y z (fractional)
Mg: 0.000 0.000 0.500
Mg: 0.000 0.500 0.000
Sn: 0.500 0.000 0.000
Bi: 0.500 0.500 0.500

Properties
Energy above the lowest structure with this stoichiometry (meV/atom): 0
Symmetry: P4/mmm, No. 123
ΔH_f (0 K) (meV/atom): -98

## Mg6SnBi2 (PBE)

Data for a relaxed structure of Mg6SnBi2.

a = 4.842 Å, b = 6.910 Å, c = 8.823 Å
α = 113.05°, β = 105.98°, γ = 90.00°
Element x y z (fractional)
Mg: 0.159 0.927 0.320
Mg: 0.841 0.607 0.680
Mg: 0.500 0.751 0.000
Mg: 0.500 0.249 0.000
Mg: 0.841 0.073 0.680
Mg: 0.159 0.393 0.320
Bi: 0.668 0.669 0.337
Bi: 0.332 0.331 0.663
Sn: 0.000 0.000 0.000

Properties
Energy above the lowest structure with this stoichiometry (meV/atom): 0
Symmetry: C2/m, No. 12
ΔH_f (0 K) (meV/atom): -101

## Mg8SnBi2 (PBE)

Data for a relaxed structure of Mg8SnBi2.

a = 4.594 Å, b = 7.485 Å, c = 8.483 Å
α = 105.00°, β = 105.71°, γ = 90.00°
Element x y z (fractional)
Mg: 0.411 0.552 0.822
Mg: 0.132 0.175 0.263
Mg: 0.039 0.719 0.078
Mg: 0.589 0.448 0.178
Mg: 0.961 0.281 0.922
Mg: 0.325 0.094 0.649
Mg: 0.675 0.906 0.351
Mg: 0.868 0.825 0.737
Sn: 0.500 0.000 0.000
Bi: 0.226 0.683 0.452
Bi: 0.774 0.317 0.548

Properties
Symmetry: C2/m, No. 12
ΔH_f (0 K) (meV/atom): -102

## MgSn3Bi (PBE)

Data for a relaxed structure of MgSn3Bi.

a = 5.906 Å, b = 5.906 Å, c = 5.906 Å
α = 90.00°, β = 90.00°, γ = 90.00°
Element x y z (fractional)
Sn: 0.000 0.000 0.500
Sn: 0.000 0.500 0.000
Sn: 0.500 0.000 0.000
Mg: 0.500 0.500 0.500
Bi: 0.000 0.000 0.000

Properties
Energy above the lowest structure with this stoichiometry (meV/atom): 351
Symmetry: Pm-3m, No. 221
ΔH_f (0 K) (meV/atom): 750

## Mg2SnBi (PBE)

Data for a relaxed structure of Mg2SnBi.

a = 5.603 Å, b = 4.672 Å, c = 9.415 Å
α = 75.86°, β = 97.80°, γ = 98.47°
Element x y z (fractional)
Bi: 0.580 0.168 0.483
Bi: 0.219 0.721 0.755
Mg: 0.691 0.568 0.689
Mg: 0.374 0.146 0.952
Mg: 0.114 0.407 0.501
Mg: 0.631 0.788 0.277
Sn: 0.106 0.754 0.188
Sn: 0.893 0.316 0.018

Properties
Energy above the lowest structure with this stoichiometry (meV/atom): 1
Symmetry: P1, No. 1
ΔH_f (0 K) (meV/atom): -98

## Mg6SnBi2 (PBE)

Data for a relaxed structure of Mg6SnBi2.

a = 7.848 Å, b = 6.307 Å, c = 9.631 Å
α = 90.00°, β = 84.93°, γ = 90.00°
Element x y z (fractional)
Bi: 0.979 0.580 0.277
Bi: 0.479 0.920 0.777
Bi: 0.021 0.420 0.723
Bi: 0.521 0.080 0.223
Mg: 0.413 0.422 0.715
Mg: 0.087 0.922 0.785
Mg: 0.659 0.188 0.507
Mg: 0.841 0.688 0.993
Mg: 0.913 0.078 0.215
Mg: 0.159 0.312 0.007
Mg: 0.587 0.578 0.285
Mg: 0.745 0.668 0.584
Mg: 0.255 0.332 0.416
Mg: 0.755 0.168 0.916
Mg: 0.341 0.812 0.493
Mg: 0.245 0.832 0.084
Sn: 0.500 0.500 0.000
Sn: 0.000 0.000 0.500

Properties
Energy above the lowest structure with this stoichiometry (meV/atom): 25
Symmetry: P2_1/c, No. 14
ΔH_f (0 K) (meV/atom): -76